Material: Sr2InTe2
Method: DFT, GGA-PBE
State: relaxed

Cell and atoms, written as POSCAR:
```
Sr2InTe2
1.0
-2.817 2.817 7.146
2.817 -2.817 7.146
2.817 2.817 -7.146
Sr In Te
2 1 2
Cartesian
2.817 0.000 3.573
0.000 2.817 3.573
0.000 0.000 0.000
0.000 0.000 5.199
0.000 0.000 9.094
```

Properties
Electronic total energy: -16.37 eV per cell
Total magnetic moment: 0.181 μB per atom
Uncorrected formation energy: -797.9 meV per atom
Calculated volume: 45.38 A^3/atom

Material: SrInTe2
Method: DFT, GGA-PBE
State: relaxed

Cell and atoms, written as POSCAR:
```
SrInTe2
1.0
2.262 1.306 7.913
-2.262 1.306 7.913
0.000 -2.611 7.913
Sr In Te
1 1 2
Cartesian
0.000 0.000 0.000
0.000 0.000 19.775
0.000 0.000 5.815
0.000 0.000 10.045
```

Properties
Electronic total energy: -14.12 eV per cell
Total magnetic moment: 0.000 μB per atom
Uncorrected formation energy: -854.8 meV per atom
Calculated volume: 35.05 A^3/atom

Material: Sr2InTe
Method: DFT, GGA-PBE
State: relaxed

Cell and atoms, written as POSCAR:
```
Sr2InTe
1.0
-2.093 2.154 8.791
2.093 -2.154 8.791
2.093 2.154 -8.791
Sr In Te
2 1 1
Cartesian
0.000 0.000 0.000
0.000 2.154 4.058
0.000 0.000 6.916
2.093 0.000 2.616
```

Properties
Electronic total energy: -12.45 eV per cell
Total magnetic moment: 0.183 μB per atom
Uncorrected formation energy: -802.4 meV per atom
Calculated volume: 39.62 A^3/atom

Material: Sr2InTe
Method: DFT, GGA-PBE
State: relaxed

Cell and atoms, written as POSCAR:
```
Sr2InTe
1.0
6.365 -2.151 0.000
6.365 2.151 0.000
-1.052 0.000 5.285
Sr In Te
2 1 1
Cartesian
0.000 0.000 0.000
8.902 0.000 2.686
3.403 0.000 0.147
5.466 0.000 2.508
```

Properties
Electronic total energy: -12.57 eV per cell
Total magnetic moment: 0.000 μB per atom
Uncorrected formation energy: -831.6 meV per atom
Calculated volume: 36.17 A^3/atom

Material: Sr2InTe
Method: DFT, GGA-PBE
State: relaxed

Cell and atoms, written as POSCAR:
```
Sr2InTe
1.0
-4.453 4.453 4.026
4.453 -4.453 4.026
4.453 4.453 -4.026
Sr In Te
4 2 2
Cartesian
6.680 2.094 -1.006
2.094 2.227 1.006
-2.227 2.359 3.019
2.359 2.227 5.032
4.453 0.000 2.013
0.000 0.000 4.026
0.000 0.000 0.000
0.000 4.453 2.013
```

Properties
Electronic total energy: -23.95 eV per cell
Total magnetic moment: 0.000 μB per atom
Uncorrected formation energy: -682.4 meV per atom
Calculated volume: 39.92 A^3/atom

Material: SrIn2Te
Method: DFT, GGA-PBE
State: relaxed

Cell and atoms, written as POSCAR:
```
SrIn2Te
1.0
4.850 0.000 0.000
0.000 4.305 0.000
-1.448 0.000 6.269
Sr In Te
1 2 1
Cartesian
0.000 0.000 0.000
1.410 0.000 3.380
3.852 2.153 3.396
2.441 2.153 0.634
```

Properties
Electronic total energy: -12.66 eV per cell
Total magnetic moment: 0.000 μB per atom
Uncorrected formation energy: -589.7 meV per atom
Calculated volume: 32.72 A^3/atom